[1]
# Li4ClO2, relaxed, DFT GGA-PBE
# DOS at the Fermi energy	10.25	states/eV per cell
# raw total energy	-30.6	eV per formula unit
# crystal system	monoclinic
# ΔE_f (raw)	-1593	meV/atom
# calculated volume	342.0	Å³ per cell
data_Li4ClO2
_chemical_formula_sum 'Li16 Cl4 O8'
_cell_length_a 8.333
_cell_length_b 9.094
_cell_length_c 6.134
_cell_angle_alpha 90.00
_cell_angle_beta 132.62
_cell_angle_gamma 90.00
_space_group_name_H-M_alt 'C 1 2/c 1'
_space_group_IT_number 15
_space_group_name_Hall '-C 2yc'
loop_
_atom_site_label
_atom_site_type_symbol
_atom_site_fract_x
_atom_site_fract_y
_atom_site_fract_z
_atom_site_occupancy
Li1 Li 0.019 0.219 0.060 1
Li2 Li 0.210 0.032 0.440 1
Cl1 Cl 0.000 0.375 0.750 1
O1 O 0.000 0.000 0.000 1
O2 O 0.250 0.250 0.500 1

***

[2]
# SrBe2Re, relaxed, DFT GGA-PBE
# ΔE_f	0.42	eV/atom
# ΔE to the lowest computed polymorph	37	kJ/mol of formula units
# DOS at the Fermi energy	5.84	states/eV per cell
# raw total energy	-19.9	eV per formula unit
# crystal system	orthorhombic
# calculated volume	137.7	Å³ per cell
data_SrBe2Re
_chemical_formula_sum 'Sr2 Be4 Re2'
_cell_length_a 3.400
_cell_length_b 3.382
_cell_length_c 11.972
_cell_angle_alpha 90.00
_cell_angle_beta 90.00
_cell_angle_gamma 90.00
_space_group_name_H-M_alt 'A m m 2'
_space_group_IT_number 38
_space_group_name_Hall 'A 2 -2'
loop_
_atom_site_label
_atom_site_type_symbol
_atom_site_fract_x
_atom_site_fract_y
_atom_site_fract_z
_atom_site_occupancy
Sr1 Sr 0.000 0.000 0.000 1
Be1 Be 0.000 0.000 0.762 1
Be2 Be 0.500 0.000 0.659 1
Re1 Re 0.500 0.000 0.283 1

***

[3]
# Cu2TcSe, relaxed, DFT GGA-PBE
# DOS at the Fermi energy	3.78	states/eV per cell
# raw total energy	-20.5	eV per formula unit
# crystal system	orthorhombic
# ΔE_f (raw)	376	meV/atom
# calculated volume	56.5	Å³ per cell
data_Cu2TcSe
_chemical_formula_sum 'Cu2 Tc1 Se1'
_cell_length_a 3.106
_cell_length_b 4.099
_cell_length_c 4.437
_cell_angle_alpha 90.00
_cell_angle_beta 90.00
_cell_angle_gamma 90.00
_space_group_name_H-M_alt 'P m m m'
_space_group_IT_number 47
_space_group_name_Hall '-P 2 2'
loop_
_atom_site_label
_atom_site_type_symbol
_atom_site_fract_x
_atom_site_fract_y
_atom_site_fract_z
_atom_site_occupancy
Cu1 Cu 0.000 0.000 0.000 1
Cu2 Cu 0.500 0.500 0.000 1
Tc1 Tc 0.000 0.500 0.500 1
Se1 Se 0.500 0.000 0.500 1